No. 1
# LiPrCrN3

A relaxed LiPrCrN3 crystal (GGA-PBE, the Alexandria database).

raw formation energy = -0.65 eV/atom
total magnetization = 0.000 μB per formula unit

Cell and atoms, written as CIF:
```
data_LiPrCrN3
_chemical_formula_sum 'Li4 Pr4 Cr4 N12'
_cell_length_a 9.241
_cell_length_b 6.066
_cell_length_c 6.311
_cell_angle_alpha 90.00
_cell_angle_beta 116.82
_cell_angle_gamma 90.00
_space_group_name_H-M_alt 'C 1 2/m 1'
_space_group_IT_number 12
_space_group_name_Hall '-C 2y'
loop_
_atom_site_label
_atom_site_type_symbol
_atom_site_fract_x
_atom_site_fract_y
_atom_site_fract_z
Li1 Li 0.000 0.172 0.000
Pr1 Pr 0.206 0.000 0.674
Cr1 Cr 0.053 0.500 0.718
N1 N 0.061 0.267 0.325
N2 N 0.242 0.000 0.107
```

No. 2
# Ba2Zn4PdPt3

A relaxed Ba2Zn4PdPt3 crystal (GGA-PBE, the Alexandria database).

calculated formation energy = -0.614 eV/atom
total magnetization = 0.000 μB per formula unit

Cell and atoms, written as CIF:
```
data_Ba2Zn4PdPt3
_chemical_formula_sum 'Ba2 Zn4 Pd1 Pt3'
_cell_length_a 4.503
_cell_length_b 4.503
_cell_length_c 10.545
_cell_angle_alpha 90.00
_cell_angle_beta 90.00
_cell_angle_gamma 90.00
_space_group_name_H-M_alt 'P -4 m 2'
_space_group_IT_number 115
_space_group_name_Hall 'P -4 -2'
loop_
_atom_site_label
_atom_site_type_symbol
_atom_site_fract_x
_atom_site_fract_y
_atom_site_fract_z
Ba1 Ba 0.000 0.500 0.245
Zn1 Zn 0.000 0.000 0.500
Zn2 Zn 0.000 0.500 0.877
Zn3 Zn 0.500 0.500 0.500
Pd1 Pd 0.500 0.500 0.000
Pt1 Pt 0.000 0.000 0.000
Pt2 Pt 0.000 0.500 0.628
```

No. 3
# Mg8Pt2Rh

A relaxed Mg8Pt2Rh crystal (GGA-PBE, the Alexandria database).

calculated formation energy = -0.528 eV/atom
total magnetization = 0.000 μB per formula unit
E above lowest polymorph = 0 meV/atom

Cell and atoms, written as CIF:
```
data_Mg8Pt2Rh
_chemical_formula_sum 'Mg16 Pt4 Rh2'
_cell_length_a 4.401
_cell_length_b 7.376
_cell_length_c 12.367
_cell_angle_alpha 90.00
_cell_angle_beta 90.00
_cell_angle_gamma 90.00
_space_group_name_H-M_alt 'I m m m'
_space_group_IT_number 71
_space_group_name_Hall '-I 2 2'
loop_
_atom_site_label
_atom_site_type_symbol
_atom_site_fract_x
_atom_site_fract_y
_atom_site_fract_z
Mg1 Mg 0.000 0.000 0.143
Mg2 Mg 0.000 0.219 0.344
Mg3 Mg 0.000 0.309 0.000
Pt1 Pt 0.000 0.500 0.195
Rh1 Rh 0.000 0.500 0.500
```

No. 4
# PaAgSe2

A relaxed PaAgSe2 crystal (GGA-PBE, the Alexandria database).

raw formation energy = -0.79 eV/atom
total magnetization = 0.778 μB per formula unit
E above lowest polymorph = 0 meV/atom

Cell and atoms, written as CIF:
```
data_PaAgSe2
_chemical_formula_sum 'Pa1 Ag1 Se2'
_cell_length_a 4.784
_cell_length_b 4.784
_cell_length_c 3.651
_cell_angle_alpha 90.00
_cell_angle_beta 90.00
_cell_angle_gamma 90.00
_space_group_name_H-M_alt 'P 4/m m m'
_space_group_IT_number 123
_space_group_name_Hall '-P 4 2'
loop_
_atom_site_label
_atom_site_type_symbol
_atom_site_fract_x
_atom_site_fract_y
_atom_site_fract_z
Pa1 Pa 0.000 0.000 0.000
Ag1 Ag 0.500 0.500 0.000
Se1 Se 0.000 0.500 0.500
```

No. 5
# Pm5Pr5Mg2

A relaxed Pm5Pr5Mg2 crystal (GGA-PBE, the Alexandria database).

calculated formation energy = 0.008 eV/atom
total magnetization = 0.000 μB per formula unit

Cell and atoms, written as CIF:
```
data_Pm5Pr5Mg2
_chemical_formula_sum 'Pm10 Pr10 Mg4'
_cell_length_a 15.377
_cell_length_b 5.126
_cell_length_c 11.393
_cell_angle_alpha 90.00
_cell_angle_beta 116.72
_cell_angle_gamma 90.00
_space_group_name_H-M_alt 'C 1 2/m 1'
_space_group_IT_number 12
_space_group_name_Hall '-C 2y'
loop_
_atom_site_label
_atom_site_type_symbol
_atom_site_fract_x
_atom_site_fract_y
_atom_site_fract_z
Pm1 Pm 0.000 0.000 0.000
Pm2 Pm 0.087 0.000 0.759
Pm3 Pm 0.166 0.000 0.497
Pr1 Pr 0.000 0.500 0.500
Pr2 Pr 0.080 0.500 0.243
Pr3 Pr 0.249 0.000 0.241
Mg1 Mg 0.169 0.500 0.000
```

No. 6
# K3TlCr2Cl9

A relaxed K3TlCr2Cl9 crystal (GGA-PBE, the Alexandria database).

raw formation energy = -1.39 eV/atom
total magnetization = 7.000 μB per formula unit

Cell and atoms, written as CIF:
```
data_K3TlCr2Cl9
_chemical_formula_sum 'K3 Tl1 Cr2 Cl9'
_cell_length_a 7.0484
_cell_length_b 7.0484
_cell_length_c 10.1742
_cell_angle_alpha 90.00
_cell_angle_beta 90.00
_cell_angle_gamma 120.00
_space_group_name_H-M_alt 'P -3 m 1'
_space_group_IT_number 164
_space_group_name_Hall '-P 3 2"'
loop_
_atom_site_label
_atom_site_type_symbol
_atom_site_fract_x
_atom_site_fract_y
_atom_site_fract_z
K1 K 0.0000 0.0000 0.0000
K2 K 0.3333 0.6667 0.7462
Tl1 Tl 0.0000 0.0000 0.5000
Cr1 Cr 0.3333 0.6667 0.1481
Cl1 Cl 0.0000 0.5000 0.0000
Cl2 Cl 0.1722 0.3443 0.2745
```

No. 7
# TlCd4Hg5

A relaxed TlCd4Hg5 crystal (GGA-PBE, the Alexandria database).

calculated formation energy = 0.005 eV/atom
total magnetization = 0.000 μB per formula unit

Cell and atoms, written as CIF:
```
data_TlCd4Hg5
_chemical_formula_sum 'Tl1 Cd4 Hg5'
_cell_length_a 3.300
_cell_length_b 3.692
_cell_length_c 20.578
_cell_angle_alpha 90.00
_cell_angle_beta 90.00
_cell_angle_gamma 90.00
_space_group_name_H-M_alt 'P m m m'
_space_group_IT_number 47
_space_group_name_Hall '-P 2 2'
loop_
_atom_site_label
_atom_site_type_symbol
_atom_site_fract_x
_atom_site_fract_y
_atom_site_fract_z
Tl1 Tl 0.000 0.000 0.000
Cd1 Cd 0.000 0.000 0.212
Cd2 Cd 0.000 0.000 0.404
Hg1 Hg 0.500 0.500 0.114
Hg2 Hg 0.500 0.500 0.308
Hg3 Hg 0.500 0.500 0.500
```

No. 8
# LiVRh3

A relaxed LiVRh3 crystal (GGA-PBE, the Alexandria database).

calculated formation energy = 0.483 eV/atom
total magnetization = 0.000 μB per formula unit
E above lowest polymorph = 763 meV/atom

Cell and atoms, written as CIF:
```
data_LiVRh3
_chemical_formula_sum 'Li1 V1 Rh3'
_cell_length_a 4.499
_cell_length_b 4.499
_cell_length_c 4.499
_cell_angle_alpha 90.00
_cell_angle_beta 90.00
_cell_angle_gamma 90.00
_space_group_name_H-M_alt 'P m -3 m'
_space_group_IT_number 221
_space_group_name_Hall '-P 4 2 3'
loop_
_atom_site_label
_atom_site_type_symbol
_atom_site_fract_x
_atom_site_fract_y
_atom_site_fract_z
Li1 Li 0.000 0.000 0.000
V1 V 0.500 0.500 0.500
Rh1 Rh 0.000 0.500 0.500
```

No. 9
# PuCuH4

A relaxed PuCuH4 crystal (GGA-PBE, the Alexandria database).

total magnetization = 5.358 μB per formula unit
E above lowest polymorph = 0 meV/atom

Cell and atoms, written as CIF:
```
data_PuCuH4
_chemical_formula_sum 'Pu4 Cu4 H16'
_cell_length_a 3.721
_cell_length_b 11.627
_cell_length_c 4.885
_cell_angle_alpha 90.00
_cell_angle_beta 90.00
_cell_angle_gamma 90.00
_space_group_name_H-M_alt 'C m c m'
_space_group_IT_number 63
_space_group_name_Hall '-C 2c 2'
loop_
_atom_site_label
_atom_site_type_symbol
_atom_site_fract_x
_atom_site_fract_y
_atom_site_fract_z
Pu1 Pu 0.000 0.129 0.250
Cu1 Cu 0.000 0.400 0.250
H1 H 0.000 0.084 0.750
H2 H 0.000 0.302 0.509
H3 H 0.000 0.500 0.000
```

No. 10
# Pr5Er12Pu

A relaxed Pr5Er12Pu crystal (GGA-PBE, the Alexandria database).

calculated formation energy = 0.116 eV/atom
total magnetization = 6.660 μB per formula unit

Cell and atoms, written as CIF:
```
data_Pr5Er12Pu
_chemical_formula_sum 'Pr10 Er24 Pu2'
_cell_length_a 11.388
_cell_length_b 17.283
_cell_length_c 5.888
_cell_angle_alpha 90.00
_cell_angle_beta 90.38
_cell_angle_gamma 90.00
_space_group_name_H-M_alt 'C 1 2/m 1'
_space_group_IT_number 12
_space_group_name_Hall '-C 2y'
loop_
_atom_site_label
_atom_site_type_symbol
_atom_site_fract_x
_atom_site_fract_y
_atom_site_fract_z
Pr1 Pr 0.000 0.000 0.000
Pr2 Pr 0.000 0.160 0.500
Pr3 Pr 0.000 0.327 0.000
Er1 Er 0.164 0.500 0.948
Er2 Er 0.171 0.334 0.541
Er3 Er 0.180 0.164 0.957
Er4 Er 0.188 0.000 0.553
Pu1 Pu 0.000 0.500 0.500
```

No. 11
# Dy5TlFe2

A relaxed Dy5TlFe2 crystal (GGA-PBE, the Alexandria database).

calculated formation energy = -0.110 eV/atom
total magnetization = 0.007 μB per formula unit

Cell and atoms, written as CIF:
```
data_Dy5TlFe2
_chemical_formula_sum 'Dy20 Tl4 Fe8'
_cell_length_a 7.416
_cell_length_b 7.416
_cell_length_c 14.487
_cell_angle_alpha 90.00
_cell_angle_beta 90.00
_cell_angle_gamma 90.00
_space_group_name_H-M_alt 'I 4/m c m'
_space_group_IT_number 140
_space_group_name_Hall '-I 4 2c'
loop_
_atom_site_label
_atom_site_type_symbol
_atom_site_fract_x
_atom_site_fract_y
_atom_site_fract_z
Dy1 Dy 0.000 0.000 0.000
Dy2 Dy 0.176 0.324 0.131
Tl1 Tl 0.000 0.000 0.250
Fe1 Fe 0.106 0.394 0.500
```

No. 12
# Pm2CdIn3

A relaxed Pm2CdIn3 crystal (GGA-PBE, the Alexandria database).

calculated formation energy = -0.453 eV/atom
total magnetization = 0.000 μB per formula unit

Cell and atoms, written as CIF:
```
data_Pm2CdIn3
_chemical_formula_sum 'Pm16 Cd8 In24'
_cell_length_a 7.420
_cell_length_b 9.963
_cell_length_c 17.208
_cell_angle_alpha 90.00
_cell_angle_beta 90.00
_cell_angle_gamma 90.00
_space_group_name_H-M_alt 'F m m m'
_space_group_IT_number 69
_space_group_name_Hall '-F 2 2'
loop_
_atom_site_label
_atom_site_type_symbol
_atom_site_fract_x
_atom_site_fract_y
_atom_site_fract_z
Pm1 Pm 0.249 0.000 0.000
Pm2 Pm 0.250 0.250 0.250
Cd1 Cd 0.000 0.000 0.167
In1 In 0.000 0.000 0.332
In2 In 0.000 0.249 0.084
```